First-principles (PBE-GGA) data for a relaxed structure of Ge2Pd2Rh, as listed in Alexandria via LeMat-Bulk.

Its energy of formation from the pure elements is -326 meV per atom. As for the crystal system: tetragonal. The space-group type is P4/mbm, No. 127.

The structure in POSCAR format:
```
Ge2Pd2Rh
1.0
6.8315 0.0000 0.0000
0.0000 6.8315 0.0000
0.0000 0.0000 3.3042
Ge Pd Rh
4 4 2
direct
0.1548 0.3452 0.0000 Ge
0.3452 0.8452 0.0000 Ge
0.6548 0.1548 0.0000 Ge
0.8452 0.6548 0.0000 Ge
0.1451 0.6451 0.5000 Pd
0.3549 0.1451 0.5000 Pd
0.6451 0.8549 0.5000 Pd
0.8549 0.3549 0.5000 Pd
0.0000 0.0000 0.0000 Rh
0.5000 0.5000 0.0000 Rh
```

---

First-principles (PBE-GGA) data for a relaxed structure of Fe2CuBr, as listed in Alexandria via LeMat-Bulk.

As for the crystal system: monoclinic. Its formation energy (no corrections) is 343 meV/atom. The space-group type is Pm, No. 6. The value obtained for the energy above the most stable polymorph in this dataset is 0 meV/atom.

The structure in POSCAR format:
```
Fe2CuBr
1.0
3.2230 0.0000 0.0000
0.0000 3.1221 0.0000
-0.0360 0.0000 6.5487
Fe Cu Br
2 1 1
direct
0.0000 0.0000 0.0000 Fe
0.4976 0.5000 0.8249 Fe
0.5009 0.5000 0.2037 Cu
0.3822 0.0000 0.5172 Br
```

---

First-principles (PBE-GGA) data for a relaxed structure of CsCd2SnAu, as listed in Alexandria via LeMat-Bulk.

Its energy of formation from the pure elements is -14 meV per atom. As for the crystal system: tetragonal. The space-group type is P4/mmm, No. 123.

The structure in POSCAR format:
```
CsCd2SnAu
1.0
5.5021 0.0000 0.0000
0.0000 5.5021 0.0000
0.0000 0.0000 5.5229
Cs Cd Sn Au
1 2 1 1
direct
0.0000 0.0000 0.0000 Cs
0.0000 0.5000 0.5000 Cd
0.5000 0.0000 0.5000 Cd
0.5000 0.5000 0.0000 Sn
0.5000 0.5000 0.5000 Au
```

---

First-principles (PBE-GGA) data for a relaxed structure of ErMgZnGe, as listed in Alexandria via LeMat-Bulk.

Its energy of formation from the pure elements is -322 meV per atom. As for the crystal system: cubic. The space-group type is F-43m, No. 216.

The structure in POSCAR format:
```
ErMgZnGe
1.0
0.0000 3.4326 3.4326
3.4326 0.0000 3.4326
3.4326 3.4326 0.0000
Er Mg Zn Ge
1 1 1 1
direct
0.0000 0.0000 0.0000 Er
0.5000 0.5000 0.5000 Mg
0.2500 0.2500 0.2500 Zn
0.7500 0.7500 0.7500 Ge
```

---

First-principles (PBE-GGA) data for a relaxed structure of RhBr2N, as listed in Alexandria via LeMat-Bulk.

As for the crystal system: cubic. Its formation energy (no corrections) is 1536 meV/atom. The space-group type is Fm-3m, No. 225. The value obtained for the energy above the most stable polymorph in this dataset is 321 meV/atom.

The structure in POSCAR format:
```
RhBr2N
1.0
0.0000 3.3018 3.3018
3.3018 0.0000 3.3018
3.3018 3.3018 0.0000
Rh Br N
1 2 1
direct
0.0000 0.0000 0.0000 Rh
0.2500 0.2500 0.2500 Br
0.7500 0.7500 0.7500 Br
0.5000 0.5000 0.5000 N
```

---

First-principles (PBE-GGA) data for a relaxed structure of Zn2Fe2Pb, as listed in Alexandria via LeMat-Bulk.

Its energy of formation from the pure elements is 317 meV per atom. As for the crystal system: tetragonal. The space-group type is P4/mbm, No. 127.

The structure in POSCAR format:
```
Zn2Fe2Pb
1.0
6.9194 0.0000 0.0000
0.0000 6.9194 0.0000
0.0000 0.0000 3.3497
Zn Fe Pb
4 4 2
direct
0.1635 0.3365 0.0000 Zn
0.3365 0.8365 0.0000 Zn
0.6635 0.1635 0.0000 Zn
0.8365 0.6635 0.0000 Zn
0.1208 0.6208 0.5000 Fe
0.3792 0.1208 0.5000 Fe
0.6208 0.8792 0.5000 Fe
0.8792 0.3792 0.5000 Fe
0.0000 0.0000 0.5000 Pb
0.5000 0.5000 0.5000 Pb
```

---

Number 1: density of states at the Fermi level 0.517 states/eV/atom, total moment 0.000 μB/atom, V 154.2 Å³ per cell. Number 2: density of states at the Fermi level 0.607 states/eV/atom, total moment 1.463 μB/atom, V 65.9 Å³ per cell. Number 3: density of states at the Fermi level 0.699 states/eV/atom, total moment 0.000 μB/atom, V 167.2 Å³ per cell. Number 4: density of states at the Fermi level 0.696 states/eV/atom, total moment 0.000 μB/atom, V 80.9 Å³ per cell. Number 5: density of states at the Fermi level 0.464 states/eV/atom, total moment 0.051 μB/atom, V 72.0 Å³ per cell. Number 6: density of states at the Fermi level 0.576 states/eV/atom, total moment 0.855 μB/atom, V 160.4 Å³ per cell.